## Tl3W (PBE-GGA)

Data for Tl3W after structural relaxation.

Properties
Spin magnetization in Bohr magnetons per cell: 1.804
DFT formation energy in kJ/mol of atoms: 104
Energy above the most stable polymorph in this dataset in meV per atom: 520

a = 5.433 Å, b = 5.662 Å, c = 6.040 Å
α = 90.00°, β = 90.00°, γ = 90.00°
Each line ends with the local moment (μB).
Sites, in units of the cell vectors:
Tl (0.500, 0.382, 0.000)  -0.01
Tl (0.000, 0.618, 0.500)  -0.01
Tl (0.000, 0.145, 0.246)  -0.01
Tl (0.000, 0.145, 0.754)  -0.01
Tl (0.500, 0.855, 0.746)  -0.01
Tl (0.500, 0.855, 0.254)  -0.01
W (0.000, 0.659, 0.000)  0.74
W (0.500, 0.341, 0.500)  0.74